Model a:
PBEsol Al7Ag5, relaxed; symmetry = P1, No. 1; volume = 16.258 A^3/atom
1.0
5.645 -0.093 0.003
1.069 6.209 0.010
2.802 1.319 5.555
Al Ag
7 5
Direct
0.921 0.670 0.832 Al
0.171 0.677 0.322 Al
0.078 0.332 0.169 Al
0.587 0.330 0.161 Al
0.662 0.664 0.335 Al
0.331 0.329 0.665 Al
0.748 0.999 0.516 Al
0.415 0.651 0.838 Ag
0.259 0.997 0.501 Ag
0.848 0.348 0.650 Ag
0.496 0.006 0.994 Ag
0.984 0.999 0.017 Ag

***

Model b:
PBEsol Al7Ag5, relaxed; symmetry = Pmm2, No. 25; volume = 16.169 A^3/atom
1.0
2.876 0.000 0.000
0.000 7.981 0.000
0.000 0.000 8.452
Ag Al
5 7
Direct
0.000 0.010 0.167 Ag
0.500 0.746 0.670 Ag
0.000 0.010 0.833 Ag
0.500 0.746 0.330 Ag
0.000 0.479 0.500 Ag
0.000 0.508 0.834 Al
0.000 0.984 0.500 Al
0.500 0.244 0.333 Al
0.500 0.244 0.667 Al
0.500 0.764 0.000 Al
0.500 0.257 0.000 Al
0.000 0.508 0.166 Al

***

Energy relative to the most stable one, in meV per atom: model a 12; model b 0

***

Model a:
PBEsol AlAgAs2, relaxed; symmetry = I-4m2, No. 119; volume = 17.830 A^3/atom
1.0
4.132 0.000 0.000
0.000 4.132 0.000
-2.066 -2.066 4.178
As Al Ag
2 1 1
Direct
0.000 0.000 0.000 As
0.750 0.250 0.500 As
0.250 0.750 0.500 Al
0.500 0.500 0.000 Ag

***

Model b:
PBEsol AlAgAs2, relaxed; symmetry = P4/mmm, No. 123; volume = 18.418 A^3/atom
1.0
-0.741 -2.155 -2.964
3.531 -1.230 0.012
-1.384 -3.942 3.212
As Ag Al
2 1 1
Direct
0.000 0.000 0.875 As
0.500 0.500 0.375 As
0.000 0.000 0.375 Ag
0.500 0.500 0.875 Al

***

Model c:
PBEsol AlAgAs2, relaxed; symmetry = Imm2, No. 44; volume = 18.692 A^3/atom
1.0
-1.253 -2.738 1.830
3.350 -1.797 -0.396
0.754 4.590 3.993
Al As Ag
1 2 1
Direct
0.285 0.785 0.571 Al
0.035 0.035 0.070 As
0.723 0.223 0.446 As
0.457 0.457 0.914 Ag

***

Energy relative to the most stable one, in meV per atom: model a 242; model b 0; model c 171

***

Model a:
PBEsol AlAgAs2, relaxed; symmetry = Pmmm, No. 47; volume = 18.091 A^3/atom
1.0
-1.483 -3.239 -1.417
3.109 -1.935 1.168
-2.175 -0.891 4.312
As Al Ag
2 1 1
Direct
0.000 0.000 0.000 As
0.000 0.500 0.500 As
0.500 0.000 0.500 Al
0.500 0.500 0.000 Ag

***

Model b:
PBEsol AlAgAs2, relaxed; symmetry = Pmm2, No. 25; volume = 21.157 A^3/atom
1.0
-1.517 1.055 2.321
0.411 -3.601 1.905
5.947 2.205 2.884
Ag As Al
1 2 1
Direct
0.126 0.000 0.671 Ag
0.124 0.000 0.045 As
0.625 0.500 0.542 As
0.125 0.500 0.242 Al

***

Energy relative to the most stable one, in meV per atom: model a 205; model b 0

***

Model a:
PBEsol AlAgAs2, relaxed; symmetry = Cmmm, No. 65; volume = 17.602 A^3/atom
1.0
-1.507 1.484 2.226
-2.551 -1.572 -0.670
1.985 -5.298 4.875
As Ag Al
2 1 1
Direct
0.000 0.000 0.761 As
0.000 0.000 0.239 As
0.500 0.500 0.500 Ag
0.500 0.500 0.000 Al

***

Model b:
PBEsol AlAgAs2, relaxed; symmetry = P2/m, No. 10; volume = 19.038 A^3/atom
1.0
-0.978 -2.797 -2.034
3.043 -2.239 1.616
-4.484 -0.642 3.038
As Al Ag
2 1 1
Direct
0.000 0.222 0.218 As
0.000 0.778 0.782 As
0.500 0.500 0.000 Al
0.500 0.000 0.500 Ag

***

Model c:
PBEsol AlAgAs2, relaxed; symmetry = R-3m, No. 166; volume = 18.595 A^3/atom
1.0
3.712 0.000 0.000
1.856 3.215 0.000
1.856 1.072 6.233
Ag As Al
1 2 1
Direct
0.500 0.500 0.500 Ag
0.746 0.746 0.761 As
0.254 0.254 0.239 As
0.000 0.000 0.000 Al

***

Model d:
PBEsol AlAgAs2, relaxed; symmetry = I-42d, No. 122; volume = 23.499 A^3/atom
1.0
-2.214 4.217 3.406
-4.316 0.854 -3.863
0.194 -6.255 2.837
As Al Ag
4 2 2
Direct
0.867 0.375 0.250 As
0.625 0.617 0.750 As
0.125 0.133 0.750 As
0.383 0.875 0.250 As
0.750 0.250 0.500 Al
0.500 0.500 0.000 Al
0.000 0.000 0.000 Ag
0.250 0.750 0.500 Ag

***

Energy relative to the most stable one, in meV per atom: model a 138; model b 36; model c 0; model d 82